Entry from the Alexandria database: a relaxed Ga6CuIr3 crystal (GGA-PBE).

Cell lengths 6.9164, 5.9887, 9.6939 Å; angles 90.00, 123.37, 90.00 degrees
Space group P2_1/c (No. 14)
One atom of each set of equivalent atoms:
Ga  0.0573  0.0025  0.2797 [4 per cell]
Ga  0.2623  0.1627  0.6080 [4 per cell]
Ga  0.3884  0.6114  0.5612 [4 per cell]
Cu  0.5000  0.0000  0.5000 [2 per cell]
Ir  0.0000  0.0000  0.0000 [2 per cell]
Ir  0.2981  0.6913  0.2683 [4 per cell]

---

Entry from the Alexandria database: a relaxed GaCuIr crystal (GGA-PBE).

Cell lengths 4.1166, 4.1166, 2.7990 Å; angles 90.00, 90.00, 120.00 degrees
Space group P3m1 (No. 156)
One atom of each set of equivalent atoms:
Ga  0.0000  0.0000  0.0000 [1 per cell]
Cu  0.6667  0.3333  0.9680 [1 per cell]
Ir  0.3333  0.6667  0.4774 [1 per cell]

---

Entry from the Alexandria database: a relaxed Ga4CuIr3 crystal (GGA-PBE).

Cell lengths 5.8291, 5.8287, 7.3357 Å; angles 90.00, 113.29, 90.00 degrees
Space group C2/m (No. 12)
One atom of each set of equivalent atoms:
Ga  0.1240  0.2501  0.2485 [8 per cell]
Cu  0.0000  0.0000  0.5000 [2 per cell]
Ir  0.0000  0.5000  0.5000 [2 per cell]
Ir  0.2406  0.5000  0.9809 [4 per cell]

---

Entry from the Alexandria database: a relaxed Ga5CuIr crystal (GGA-PBE).

Cell lengths 11.3893, 6.9402, 9.5502 Å; angles 90.00, 125.82, 90.00 degrees
Space group C2/c (No. 15)
One atom of each set of equivalent atoms:
Ga  0.0000  0.0513  0.2500 [4 per cell]
Ga  0.0481  0.3399  0.9747 [8 per cell]
Ga  0.2407  0.4517  0.3310 [8 per cell]
Cu  0.0000  0.4231  0.2500 [4 per cell]
Ir  0.0000  0.0000  0.0000 [4 per cell]

---

Entry from the Alexandria database: a relaxed GaCuIr crystal (GGA-PBE).

Cell lengths 3.0407, 3.0407, 8.8562 Å; angles 90.00, 90.00, 90.00 degrees
Space group I4mm (No. 107)
One atom of each set of equivalent atoms:
Ga  0.0000  0.0000  0.0000 [2 per cell]
Cu  0.0000  0.0000  0.6573 [2 per cell]
Ir  0.0000  0.0000  0.3384 [2 per cell]

---

Entry from the Alexandria database: a relaxed Ga6Cu2Ir crystal (GGA-PBE).

Cell lengths 5.3871, 6.7861, 8.8953 Å; angles 90.00, 112.91, 90.00 degrees
Space group P2_1/c (No. 14)
One atom of each set of equivalent atoms:
Ga  0.0927  0.0146  0.2366 [4 per cell]
Ga  0.1648  0.7203  0.0425 [4 per cell]
Ga  0.3465  0.1527  0.0258 [4 per cell]
Cu  0.3685  0.0936  0.7500 [4 per cell]
Ir  0.5000  0.0000  0.5000 [2 per cell]

---

Number 1: calculated total energy -51.15 eV/f.u.. Number 2: calculated total energy -16.51 eV/f.u.. Number 3: calculated total energy -45.25 eV/f.u.. Number 4: calculated total energy -28.13 eV/f.u.. Number 5: calculated total energy -16.44 eV/f.u.. Number 6: calculated total energy -35.96 eV/f.u..